Entry from the Alexandria database: crystalline HgGeSbTe3 at its relaxed geometry (PBE).

Cell lengths 9.758, 4.323, 9.941 Å; angles 90.00, 100.04, 90.00 degrees
Atoms (fractional coordinates):
Hg  0.180  0.250  0.256
Hg  0.820  0.750  0.744
Ge  0.058  0.250  0.645
Ge  0.942  0.750  0.355
Sb  0.344  0.750  0.882
Sb  0.656  0.250  0.118
Te  0.126  0.250  0.919
Te  0.202  0.750  0.555
Te  0.451  0.750  0.179
Te  0.549  0.250  0.821
Te  0.798  0.250  0.445
Te  0.874  0.750  0.081

Computed properties:
The total magnetic moment comes out at 0.0 μB/cell. The formation energy (no corrections) comes out at -0.0222 eV per atom.


Entry from the Alexandria database: crystalline Sr6Hg5Pt at its relaxed geometry (PBE).

Cell lengths 5.595, 7.820, 8.890 Å; angles 90.00, 108.38, 90.00 degrees
Atoms (fractional coordinates):
Sr  0.000  0.235  0.000
Sr  0.000  0.765  0.000
Sr  0.342  0.243  0.682
Sr  0.342  0.757  0.682
Sr  0.658  0.243  0.318
Sr  0.658  0.757  0.318
Hg  0.166  0.500  0.335
Hg  0.173  0.000  0.349
Hg  0.500  0.500  0.000
Hg  0.827  0.000  0.651
Hg  0.834  0.500  0.665
Pt  0.500  0.000  0.000

Computed properties:
The total magnetic moment comes out at 0.0 μB/cell. Its energy of formation is -553 meV per atom.


Entry from the Alexandria database: crystalline KHgAs at its relaxed geometry (PBE).

Cell lengths 4.598, 4.598, 5.186 Å; angles 90.00, 90.00, 120.00 degrees
Atoms (fractional coordinates):
K  0.000  0.000  0.000
Hg  0.333  0.667  0.500
As  0.667  0.333  0.500

Computed properties:
The total magnetic moment comes out at 0.0 μB/cell. Its energy of formation is -350 meV per atom.


Entry from the Alexandria database: crystalline TlWCl2 at its relaxed geometry (PBE).

Cell lengths 8.263, 8.263, 8.263 Å; angles 159.11, 149.40, 37.34 degrees
Atoms (fractional coordinates):
Tl  0.000  0.000  0.000
W  0.179  0.679  0.500
Cl  0.302  0.302  0.000
Cl  0.653  0.153  0.500

Computed properties:
The polymorph energy (0 for the lowest one) comes out at 34.0 kJ/mol of atoms. The total magnetic moment comes out at 0.0 μB/cell. The formation energy (no corrections) comes out at 0.3456 eV per atom.